This record from Alexandria via LeMat-Bulk describes a relaxed AcTbZnSn crystal. The functional is PBE-GGA.

Unit cell a=7.7148 b=7.7148 c=7.7148 alpha=90.00 beta=90.00 gamma=90.00
Last column: nearest neighbours and their distance in Å.
Space group F-43m (No. 216)
Unique sites:
Ac 0.0000 0.0000 0.0000 x4  4 Sn 3.34, 4 Zn 3.34
Tb 0.0000 0.0000 0.5000 x4  4 Zn 3.34, 4 Sn 3.34
Zn 0.2500 0.2500 0.2500 x4  4 Ac 3.34, 4 Tb 3.34
Sn 0.2500 0.2500 0.7500 x4  4 Ac 3.34, 4 Tb 3.34

## Properties
energy of formation = -1.73 eV per formula unit